The following is a DFT calculation (PBEsol) of a relaxed structure of InSeBr2.

Geometry as POSCAR:
```
InSeBr2
1.0
4.890 0.000 0.000
0.000 5.499 0.000
-2.394 0.000 4.638
In Se Br
1 1 2
Direct
0.000 0.000 0.000 In
0.964 0.500 0.922 Se
0.388 0.500 0.765 Br
0.664 0.000 0.332 Br
```

Computed properties:
- SG: Pm (6)
- Distance to the lowest polymorph of the same formula: 0 meV/atom
- VASP energy: -2.942 eV per atom
- E_form (uncorrected): -298 meV/atom
- D(E_F): 1.37 states/eV/f.u.
- Size of the total moment: 0.00 μB/cell